DFT (PBE+U) results for a relaxed structure of CaMgCoHNF.

a = 3.487 Å, b = 3.939 Å, c = 11.917 Å
α = 90.00°, β = 106.57°, γ = 90.00°
Atoms (fractional coordinates):
N (0.607, 0.500, 0.134)
N (0.607, 0.000, 0.634)
Ca (0.269, 0.000, 0.796)
Ca (0.269, 0.500, 0.296)
F (0.908, 0.500, 0.439)
F (0.908, 0.000, 0.939)
H (0.210, 0.500, 0.727)
H (0.210, 0.000, 0.227)
Mg (0.009, 0.500, 0.036)
Mg (0.009, 0.000, 0.536)
Co (0.597, 0.500, 0.667)
Co (0.597, 0.000, 0.167)

Output
Distance to the lowest polymorph of the same formula: 2.10 kcal/mol of atoms
Theoretical density: 3.33 g/cm³
Magnetization: 2.0 μB per formula unit